Entry 1:
Material: TiNiSe
Method: DFT, GGA-PBE
State: relaxed

abc: 3.6982 3.6982 29.6258
angles: 90.00 90.00 120.00
Closest atoms and distances in Å follow each position.
Space group R-3m (No. 166, hexagonal axes)
Unique sites:
Ti: 0.0000 0.0000 0.0589 x6  3 Ni 2.55, 3 Se 2.56
Ni: 0.0000 0.0000 0.3449 x6  3 Ni 2.24
Se: 0.0000 0.0000 0.2267 x6  3 Ti 2.56

Calculated values
Crystal system: trigonal


Entry 2:
Material: TiNiSe3
Method: DFT, GGA-PBE
State: relaxed

abc: 6.4179 3.7455 10.0603
angles: 90.00 108.14 90.00
Closest atoms and distances in Å follow each position.
Space group P2_1/m (No. 11)
Unique sites:
Ti: 0.1950 0.2500 0.4437 x2  6 Se 2.56-2.66
Ni: 0.4670 0.2500 0.8469 x2  5 Se 2.29-2.56
Se: 0.0842 0.2500 0.6668 x2  3 Ti 2.56-2.59, 1 Ni 2.56
Se: 0.3527 0.2500 0.0448 x2  3 Ni 2.29-2.33
Se: 0.4201 0.7500 0.3587 x2  1 Ni 2.40, 3 Ti 2.64-2.66

Calculated values
Crystal system: monoclinic


Entry 3:
Material: TiNiSe2
Method: DFT, GGA-PBE
State: relaxed

abc: 3.5461 3.5461 18.5668
angles: 90.00 90.00 120.00
Closest atoms and distances in Å follow each position.
Space group R3m (No. 160, hexagonal axes)
Unique sites:
Ti: 0.0000 0.0000 0.0000 x3  6 Se 2.56-2.67
Ni: 0.0000 0.0000 0.8453 x3  6 Se 2.44-2.60
Se: 0.0000 0.0000 0.2503 x3  3 Ni 2.44, 3 Ti 2.56
Se: 0.0000 0.0000 0.4253 x3  3 Ni 2.60, 3 Ti 2.67

Calculated values
Crystal system: trigonal


Entry 4:
Material: TiNi2Se2
Method: DFT, GGA-PBE
State: relaxed

abc: 6.7952 6.7952 3.2430
angles: 90.00 90.00 90.00
Closest atoms and distances in Å follow each position.
Space group P4/mbm (No. 127)
Unique sites:
Ti: 0.0000 0.0000 0.0000 x2  4 Se 2.53
Ni: 0.1367 0.3633 0.5000 x4  6 Se 2.49-2.63, 1 Ni 2.63
Se: 0.1667 0.6667 0.0000 x4  6 Ni 2.49-2.63, 2 Ti 2.53

Calculated values
Crystal system: tetragonal


Entry 5:
Material: TiNi2Se2
Method: DFT, GGA-PBE
State: relaxed

abc: 4.5595 4.5595 4.7013
angles: 90.00 90.00 90.00
Closest atoms and distances in Å follow each position.
Space group P4/mmm (No. 123)
Unique sites:
Ti: 0.0000 0.0000 0.0000 x1  4 Ni 2.28, 2 Se 2.35
Ni: 0.0000 0.5000 0.0000 x2  2 Ti 2.28
Se: 0.0000 0.0000 0.5000 x1  2 Ti 2.35
Se: 0.5000 0.5000 0.5000 x1  4 Se 3.22, 8 Ni 3.27

Calculated values
Crystal system: tetragonal


Entry 6:
Material: TiNi2Se2
Method: DFT, GGA-PBE
State: relaxed

abc: 4.5924 4.5924 7.5780
angles: 90.00 90.00 90.00
Closest atoms and distances in Å follow each position.
Space group I4/mmm (No. 139)
Unique sites:
Ti: 0.0000 0.0000 0.0000 x2  2 Ni 2.60
Ni: 0.0000 0.0000 0.3435 x4  1 Ni 2.37, 4 Se 2.40, 1 Ti 2.60
Se: 0.0000 0.5000 0.2500 x4  4 Ni 2.40

Calculated values
Crystal system: tetragonal


Entry 7:
Material: TiNi2Se2
Method: DFT, GGA-PBE
State: relaxed

abc: 3.4319 3.4319 12.8165
angles: 90.00 90.00 90.00
Closest atoms and distances in Å follow each position.
Space group I4/mmm (No. 139)
Unique sites:
Ti: 0.0000 0.0000 0.0000 x2  8 Se 2.83
Ni: 0.0000 0.5000 0.2500 x4  4 Ni 2.43, 4 Se 2.45
Se: 0.0000 0.0000 0.3861 x4  4 Ni 2.45

Calculated values
Crystal system: tetragonal


Entry 8:
Material: Ti2NiSe5
Method: DFT, GGA-PBE
State: relaxed

abc: 5.0689 12.5489 11.1739
angles: 90.00 90.00 90.00
Closest atoms and distances in Å follow each position.
Space group Cmcm (No. 63)
Unique sites:
Ti: 0.0000 0.1718 0.0430 x8  5 Se 2.43-2.60
Ni: 0.0000 0.1972 0.7500 x4  6 Se 2.46-2.58
Se: 0.0000 0.0405 0.6172 x8  1 Ti 2.43, 1 Ni 2.46
Se: 0.0000 0.2658 0.2500 x4  2 Ni 2.58, 2 Ti 2.60
Se: 0.0000 0.3317 0.5892 x8  1 Ni 2.47, 3 Ti 2.49-2.59

Calculated values
Crystal system: orthorhombic


Number 1: magnetization 0.000 μB per atom, raw formation energy -496 meV per atom. Number 2: magnetization 0.089 μB per atom, raw formation energy -616 meV per atom. Number 3: magnetization 0.000 μB per atom, raw formation energy -625 meV per atom. Number 4: magnetization 0.000 μB per atom, raw formation energy -263 meV per atom. Number 5: magnetization 0.000 μB per atom, raw formation energy 746 meV per atom. Number 6: magnetization 0.000 μB per atom, raw formation energy -82 meV per atom. Number 7: magnetization 0.000 μB per atom, raw formation energy -273 meV per atom. Number 8: magnetization 0.000 μB per atom, raw formation energy -725 meV per atom.